A plane-wave DFT calculation with GGA+U was carried out for a geometry-optimized HoCoO3 structure.

abc: 3.865 3.865 5.059
angles: 90.00 90.00 90.00
Element x y z (fractional)
Ho  0.000  0.000  0.000
Co  0.500  0.500  0.317
O  0.000  0.000  0.584
O  0.000  0.500  0.185
O  0.500  0.000  0.185

Space group = P4mm (99)
Final energy = -6.47 eV/atom